The following is a PBE-GGA calculation of a relaxed structure of Th3MnGe2, from the Alexandria database.

## Properties
Energy, eV per atom: -7.290
Size of the total moment, μB per formula unit: 1.59
Theoretical density, Mg/m³: 10.14
ΔH_f (0 K), eV/atom: -0.5123

Unit cell a=4.2565 b=11.4887 c=12.0050 alpha=90.00 beta=90.00 gamma=90.00
Each line ends with the local moment (μB).
Atoms (fractional coordinates):
Th 0.2500 0.7935 0.7187  -0.07
Ge 0.7500 0.9984 0.6957  0.00
Th 0.2500 0.7065 0.2187  -0.07
Ge 0.2500 0.6859 0.4773  0.00
Th 0.2500 0.4406 0.3792  -0.10
Mn 0.2500 0.1364 0.1323  1.86
Ge 0.7500 0.5016 0.1957  0.00
Th 0.7500 0.2065 0.2813  -0.07
Ge 0.2500 0.4984 0.8043  0.00
Mn 0.2500 0.3636 0.6323  1.86
Th 0.2500 0.3763 0.0532  -0.02
Th 0.7500 0.8763 0.4468  -0.02
Th 0.7500 0.5594 0.6208  -0.10
Th 0.7500 0.2935 0.7813  -0.07
Th 0.2500 0.1237 0.5532  -0.02
Mn 0.7500 0.8636 0.8677  1.86
Th 0.7500 0.9406 0.1208  -0.10
Mn 0.7500 0.6364 0.3677  1.86
Th 0.2500 0.0594 0.8792  -0.10
Ge 0.2500 0.0016 0.3043  0.00
Ge 0.7500 0.3141 0.5227  0.00
Th 0.7500 0.6237 0.9468  -0.02
Ge 0.7500 0.1859 0.0227  0.00
Ge 0.2500 0.8141 0.9773  0.00